First-principles (GGA-PBE) data for a geometry-optimized Sb3Mo structure, as listed in the Alexandria database.

Cell and atoms, written as POSCAR:
```
Sb3Mo
1.0
9.778 -0.033 -0.020
9.207 3.291 -0.020
9.207 1.580 2.887
Mo Sb
1 3
direct
0.000 0.000 0.000
0.735 0.735 0.735
0.500 0.500 0.500
0.265 0.265 0.265
```

## Properties
**Density**: 8.11 g cm⁻³
**Formation energy (no corrections)**: 0.736 eV per formula unit
**Offset from the most stable computed form**: 24.8 meV per atom